Computed, not measured: a relaxed structure of Pm3Ni3Ge8 at the GGA-PBE level of DFT.

```
14
Lattice="-2.905 -2.837 -0.413 1.862 -5.709 5.944 -5.408 1.689 6.268" Properties=species:S:1:pos:R:3 pbc="T T T"
Pm -3.226 -3.428 5.899
Pm -3.022 -3.053 1.893
Pm -3.429 -3.803 9.906
Ni -1.453 -1.418 -0.207
Ni 0.155 -3.972 6.020
Ni -3.702 -0.047 6.192
Ge -5.350 -1.069 4.645
Ge -1.101 -5.787 7.154
Ge -0.964 -5.533 4.450
Ge -5.488 -1.323 7.349
Ge -3.819 -6.010 7.643
Ge -2.632 -0.846 4.156
Ge -5.740 -4.056 7.728
Ge -0.712 -2.800 4.071
```

Calculated values
- energy of formation (eV/atom) = -0.44
- calculated volume (Å³/cell) = 268.9
- magnetic moment (μB per formula unit) = 0.000
- density of states at the Fermi level (states/eV per cell) = 7.1



Computed, not measured: a relaxed structure of Cs2KHf at the GGA-PBE level of DFT.

```
4
Lattice="6.953 -0.169 0.360 3.165 -0.072 6.203 3.234 -5.765 2.193" Properties=species:S:1:pos:R:3 pbc="T T T"
Cs 3.338 -1.501 2.189
Cs 10.014 -4.504 6.567
K 0.000 0.000 0.000
Hf 6.676 -3.003 4.378
```

Calculated values
- energy of formation (eV/atom) = 1.15
- calculated volume (Å³/cell) = 238.8
- magnetic moment (μB per formula unit) = 2.938
- density of states at the Fermi level (states/eV per cell) = 3.9